## KY2Ru (PBE)

Data for KY2Ru after structural relaxation.

Values from the calculation:
- polymorph energy (0 for the lowest one) (eV/f.u.) = 1.65
- SG = Fm-3m, No. 225
- formation energy (eV per atom) = 0.400
- magnetic moment (Bohr magnetons per cell) = 0.00

```
data_KY2Ru
_cell_length_a 5.2106
_cell_length_b 5.2106
_cell_length_c 5.2106
_cell_angle_alpha 60.00
_cell_angle_beta 60.00
_cell_angle_gamma 60.00
_space_group_name_H-M_alt 'P 1'
_space_group_IT_number 1
loop_
_space_group_symop_operation_xyz
'x,y,z'
loop_
_atom_site_label
_atom_site_type_symbol
_atom_site_fract_x
_atom_site_fract_y
_atom_site_fract_z
K1 K 0.0000 0.0000 0.0000
Y1 Y 0.7500 0.7500 0.7500
Y2 Y 0.2500 0.2500 0.2500
Ru1 Ru 0.5000 0.5000 0.5000
```